No. 1
{
  "formula": "Ba3In2O6",
  "functional": "meta-GGA SCAN",
  "state": "PBEsol geometry",
  "cell": [[4.196, 0.000, 0.000], [0.000, 4.196, 0.000], [-2.098, -2.098, 10.812]],
  "species": ["In", "In", "O", "O", "O", "O", "O", "O", "Ba", "Ba", "Ba"],
  "frac_coords": [[0.102, 0.102, 0.205], [0.898, 0.898, 0.795], [0.584, 0.084, 0.168], [0.084, 0.584, 0.168], [0.801, 0.801, 0.603], [0.916, 0.416, 0.832], [0.199, 0.199, 0.397], [0.416, 0.916, 0.832], [0.317, 0.317, 0.635], [0.500, 0.500, 0.000], [0.683, 0.683, 0.365]],
  "raw_formation_energy_ev_per_atom": -2.375,
  "crystal_system": "tetragonal",
  "magmom_total_mub_per_cell": 0.0,
  "dft_energy_ev_per_atom": -22.630
}



No. 2
{
  "formula": "BaIn2O4",
  "functional": "meta-GGA SCAN",
  "state": "PBEsol geometry",
  "cell": [[-0.428, 2.097, -5.437], [-10.349, -1.209, 0.348], [3.587, 13.169, 4.797]],
  "species": ["In", "In", "In", "In", "In", "In", "In", "In", "In", "In", "In", "In", "In", "In", "In", "In", "Ba", "Ba", "Ba", "Ba", "Ba", "Ba", "Ba", "Ba", "O", "O", "O", "O", "O", "O", "O", "O", "O", "O", "O", "O", "O", "O", "O", "O", "O", "O", "O", "O", "O", "O", "O", "O", "O", "O", "O", "O", "O", "O", "O", "O"],
  "frac_coords": [[0.745, 0.379, 0.193], [0.254, 0.556, 0.054], [0.249, 0.273, 0.070], [0.751, 0.727, 0.930], [0.743, 0.083, 0.686], [0.251, 0.273, 0.570], [0.754, 0.444, 0.446], [0.245, 0.621, 0.307], [0.746, 0.444, 0.946], [0.755, 0.379, 0.693], [0.255, 0.621, 0.807], [0.757, 0.083, 0.186], [0.749, 0.727, 0.430], [0.243, 0.917, 0.814], [0.257, 0.917, 0.314], [0.246, 0.556, 0.554], [0.243, 0.245, 0.809], [0.744, 0.079, 0.939], [0.757, 0.755, 0.191], [0.743, 0.755, 0.691], [0.256, 0.921, 0.061], [0.756, 0.079, 0.439], [0.257, 0.245, 0.309], [0.244, 0.921, 0.561], [0.577, 0.633, 0.021], [0.447, 0.581, 0.435], [0.423, 0.367, 0.979], [0.305, 0.091, 0.446], [0.298, 0.718, 0.684], [0.202, 0.718, 0.184], [0.517, 0.009, 0.767], [0.553, 0.419, 0.565], [0.483, 0.991, 0.233], [0.459, 0.812, 0.885], [0.494, 0.215, 0.654], [0.195, 0.091, 0.946], [0.403, 0.461, 0.191], [0.805, 0.909, 0.054], [0.097, 0.461, 0.691], [0.798, 0.282, 0.816], [0.695, 0.909, 0.554], [0.903, 0.539, 0.309], [0.983, 0.009, 0.267], [0.994, 0.785, 0.846], [0.597, 0.539, 0.809], [0.923, 0.633, 0.521], [0.077, 0.367, 0.479], [0.702, 0.282, 0.316], [0.053, 0.581, 0.935], [0.541, 0.188, 0.115], [0.506, 0.785, 0.346], [0.947, 0.419, 0.065], [0.017, 0.991, 0.733], [0.006, 0.215, 0.154], [0.959, 0.188, 0.615], [0.041, 0.812, 0.385]],
  "dos_ef_per_ev_cell": 0.00,
  "raw_formation_energy_ev_per_atom": -2.107,
  "crystal_system": "monoclinic",
  "magmom_total_mub_per_cell": 0.0,
  "dft_energy_ev_per_atom": -20.856
}



No. 3
{
  "formula": "Ba2InOsO6",
  "functional": "meta-GGA SCAN",
  "state": "PBEsol geometry",
  "cell": [[-4.549, -3.004, 2.036], [0.402, -5.761, 0.714], [0.170, -2.263, 5.358]],
  "species": ["Ba", "Ba", "O", "O", "O", "O", "O", "O", "Os", "In"],
  "frac_coords": [[0.750, 0.750, 0.750], [0.250, 0.250, 0.250], [0.240, 0.760, 0.760], [0.760, 0.240, 0.240], [0.760, 0.240, 0.760], [0.240, 0.760, 0.240], [0.760, 0.760, 0.240], [0.240, 0.240, 0.760], [0.000, 0.000, 0.000], [0.500, 0.500, 0.500]],
  "raw_formation_energy_ev_per_atom": -2.163,
  "crystal_system": "cubic",
  "magmom_total_mub_per_cell": 3.0,
  "dft_energy_ev_per_atom": -24.338
}



No. 4
{
  "formula": "BaIn2P4O14",
  "functional": "meta-GGA SCAN",
  "state": "PBEsol geometry",
  "cell": [[7.651, 0.012, -0.001], [0.182, 7.649, -0.001], [1.664, 1.627, 9.666]],
  "species": ["O", "O", "O", "O", "O", "O", "O", "O", "O", "O", "O", "O", "O", "O", "O", "O", "O", "O", "O", "O", "O", "O", "O", "O", "O", "O", "O", "O", "P", "P", "P", "P", "P", "P", "P", "P", "In", "In", "In", "In", "Ba", "Ba"],
  "frac_coords": [[0.050, 0.223, 0.835], [0.749, 0.388, 0.588], [0.250, 0.378, 0.213], [0.364, 0.559, 0.902], [0.850, 0.825, 0.417], [0.636, 0.441, 0.098], [0.251, 0.612, 0.412], [0.175, 0.150, 0.083], [0.441, 0.636, 0.598], [0.378, 0.250, 0.713], [0.521, 0.860, 0.836], [0.950, 0.777, 0.165], [0.164, 0.807, 0.594], [0.777, 0.950, 0.665], [0.559, 0.364, 0.402], [0.223, 0.050, 0.335], [0.140, 0.479, 0.664], [0.150, 0.175, 0.583], [0.836, 0.193, 0.406], [0.612, 0.251, 0.912], [0.479, 0.140, 0.164], [0.750, 0.622, 0.787], [0.388, 0.749, 0.088], [0.860, 0.521, 0.336], [0.825, 0.850, 0.917], [0.807, 0.164, 0.094], [0.622, 0.750, 0.287], [0.193, 0.836, 0.906], [0.819, 0.731, 0.300], [0.269, 0.181, 0.200], [0.254, 0.635, 0.560], [0.635, 0.254, 0.060], [0.181, 0.269, 0.700], [0.746, 0.365, 0.440], [0.365, 0.746, 0.940], [0.731, 0.819, 0.800], [0.000, 0.000, 0.500], [0.000, 0.000, 0.000], [0.554, 0.446, 0.750], [0.446, 0.554, 0.250], [0.000, 0.500, 0.000], [0.500, 0.000, 0.500]],
  "dos_ef_per_ev_cell": 0.00,
  "raw_formation_energy_ev_per_atom": -2.518,
  "crystal_system": "monoclinic",
  "magmom_total_mub_per_cell": 0.0,
  "dft_energy_ev_per_atom": -13.716
}



No. 5
{
  "formula": "BaIn2PO",
  "functional": "meta-GGA SCAN",
  "state": "PBEsol geometry",
  "cell": [[-2.886, 3.094, -1.212], [-4.748, -3.595, 2.131], [0.508, 2.705, 5.696]],
  "species": ["In", "In", "P", "O", "Ba"],
  "frac_coords": [[0.000, 0.000, 0.500], [0.000, 0.500, 0.000], [0.500, 0.500, 0.500], [0.500, 0.000, 0.000], [0.000, 0.000, 0.000]],
  "dos_ef_per_ev_cell": 2.32,
  "raw_formation_energy_ev_per_atom": 0.471,
  "crystal_system": "tetragonal",
  "magmom_total_mub_per_cell": 0.6,
  "dft_energy_ev_per_atom": -24.120
}



No. 6
{
  "formula": "BaSr2ScInO6",
  "functional": "meta-GGA SCAN",
  "state": "PBEsol geometry",
  "cell": [[-3.630, 1.661, 0.952], [-1.719, -3.726, -0.052], [4.782, -0.078, 9.526]],
  "species": ["Ba", "O", "O", "O", "O", "O", "O", "Sr", "Sr", "In", "Sc"],
  "frac_coords": [[0.680, 0.680, 0.361], [0.802, 0.802, 0.604], [0.421, 0.921, 0.842], [0.580, 0.080, 0.159], [0.921, 0.421, 0.842], [0.080, 0.580, 0.159], [0.196, 0.196, 0.391], [0.502, 0.502, 0.003], [0.318, 0.318, 0.636], [0.902, 0.902, 0.805], [0.099, 0.099, 0.198]],
  "dos_ef_per_ev_cell": 0.00,
  "raw_formation_energy_ev_per_atom": -2.888,
  "crystal_system": "tetragonal",
  "magmom_total_mub_per_cell": 0.0,
  "dft_energy_ev_per_atom": -18.261
}